VASP calculation (PBE) on a geometry-optimized Dy2Er7Tm4 structure.

extended XYZ file:
```
13
Lattice="5.9747 0.0000 0.0000 -2.9874 5.1742 0.0000 0.0000 0.0000 13.1162" Properties=species:S:1:pos:R:3 pbc="T T T"
Dy 0.0000 3.4495 0.0000
Dy 2.9874 1.7247 0.0000
Er 0.0000 0.0000 0.0000
Er -1.0547 1.8269 2.8305
Er -1.9326 3.3474 10.2857
Er 2.1095 0.0000 2.8305
Er 1.0547 1.8269 10.2857
Er 3.8652 0.0000 10.2857
Er 1.9326 3.3474 2.8305
Tm 0.0000 0.0000 5.1738
Tm 0.0000 0.0000 7.9424
Tm 0.0000 3.4495 6.5581
Tm 2.9874 1.7247 6.5581
```

ΔH_f (0 K) (eV per atom): 0.19
Calculated total energy (eV per formula unit): -56.58
Space-group type: P-31m

---

VASP calculation (PBE) on a geometry-optimized NiHgSeBr2 structure.

extended XYZ file:
```
5
Lattice="5.4704 0.0000 0.0000 0.0000 5.4704 0.0000 0.0000 0.0000 5.3440" Properties=species:S:1:pos:R:3 pbc="T T T"
Ni 0.0000 0.0000 0.0000
Hg 2.7352 2.7352 2.6720
Se 2.7352 2.7352 0.0000
Br 0.0000 2.7352 2.6720
Br 2.7352 0.0000 2.6720
```

Energy above the lowest structure with this stoichiometry (meV per atom): 674.1
Calculated total energy (eV per formula unit): -9.05
Space-group type: P4/mmm
E_form (uncorrected) (meV per atom): 774

---

VASP calculation (PBE) on a geometry-optimized HoNpFe4 structure.

extended XYZ file:
```
6
Lattice="0.0000 3.5902 3.5902 3.5902 0.0000 3.5902 3.5902 3.5902 0.0000" Properties=species:S:1:pos:R:3 pbc="T T T"
Ho 0.0000 0.0000 0.0000
Np 5.3853 5.3853 5.3853
Fe 2.6933 2.6933 2.6933
Fe 4.4871 4.4871 2.6933
Fe 4.4871 2.6933 4.4871
Fe 2.6933 4.4871 4.4871
```

Energy above the lowest structure with this stoichiometry (meV per atom): 0.0
ΔH_f (0 K) (eV per atom): 0.00
Calculated total energy (eV per formula unit): -51.37
Space-group type: F-43m

---

VASP calculation (PBE) on a geometry-optimized Tb6Ni2Pt structure.

extended XYZ file:
```
18
Lattice="-4.7004 4.7880 4.8265 4.7004 -4.7880 4.8265 4.7004 4.7880 -4.8265" Properties=species:S:1:pos:R:3 pbc="T T T"
Tb 4.7004 3.0134 -2.4135
Tb 2.5358 1.6847 0.0000
Tb 6.8650 1.6847 0.0000
Tb 1.7936 4.7880 -1.6533
Tb 2.9068 0.0000 3.1732
Tb 0.0000 1.7746 2.4130
Tb 4.7004 3.0134 2.4135
Tb 1.7936 4.7880 1.6533
Tb 2.9068 0.0000 6.4797
Tb -2.1646 3.1033 4.8265
Tb 2.1646 3.1033 4.8265
Tb 0.0000 1.7746 7.2400
Ni 4.7004 0.0000 1.1485
Ni 0.0000 3.2757 0.0000
Ni 0.0000 6.3002 0.0000
Ni 0.0000 4.7880 3.6780
Pt 0.0000 0.0000 0.0000
Pt 0.0000 0.0000 4.8265
```

ΔH_f (0 K) (eV per atom): -0.49
Calculated total energy (eV per formula unit): -49.75
Space-group type: Immm

---

VASP calculation (PBE) on a geometry-optimized MnGePSN structure.

extended XYZ file:
```
5
Lattice="4.2310 0.0000 0.0000 0.0000 3.2317 0.0000 -0.9269 0.0000 5.3170" Properties=species:S:1:pos:R:3 pbc="T T T"
Mn 0.0000 0.0000 0.0000
Ge -0.2270 0.0000 2.7296
P 1.9598 1.6159 3.1950
S 1.4860 1.6159 0.5169
N 2.0586 1.6159 4.9456
```

Energy above the lowest structure with this stoichiometry (meV per atom): 313.7
Calculated total energy (eV per formula unit): -30.88
Space-group type: Pm
E_form (uncorrected) (meV per atom): 154

---

VASP calculation (PBE) on a geometry-optimized Cd5Se structure.

extended XYZ file:
```
6
Lattice="4.0208 0.0000 0.0000 0.0000 4.0208 0.0000 0.0000 0.0000 8.7180" Properties=species:S:1:pos:R:3 pbc="T T T"
Cd 0.0000 0.0000 0.0000
Cd 0.0000 0.0000 2.9154
Cd 0.0000 0.0000 5.8026
Cd 2.0104 2.0104 1.4415
Cd 2.0104 2.0104 7.2765
Se 2.0104 2.0104 4.3590
```

Calculated total energy (eV per formula unit): -8.15
Space-group type: P4/mmm
E_form (uncorrected) (meV per atom): -14